1.
MgAl2Ni9 | GGA-PBE | relaxed

Cell lengths 3.597, 3.597, 10.747 Å; angles 90.00, 90.00, 90.00 degrees
Space group P4/mmm (No. 123)
Asymmetric unit:
Mg  0.000  0.000  0.000 x1
Al  0.000  0.000  0.336 x2
Ni  0.000  0.500  0.174 x4
Ni  0.000  0.500  0.500 x2
Ni  0.500  0.500  0.000 x1
Ni  0.500  0.500  0.336 x2

2.
Mg14AlNi | GGA-PBE | relaxed

Cell lengths 10.164, 6.226, 10.664 Å; angles 90.00, 90.00, 90.00 degrees
Space group Amm2 (No. 38)
Asymmetric unit:
Mg  0.000  0.000  0.000 x2
Mg  0.000  0.000  0.499 x2
Mg  0.000  0.249  0.246 x4
Mg  0.248  0.000  0.831 x4
Mg  0.257  0.000  0.332 x4
Mg  0.272  0.243  0.576 x8
Mg  0.500  0.250  0.260 x4
Al  0.500  0.000  0.998 x2
Ni  0.500  0.000  0.492 x2

Values from the calculation:
- offset from the most stable computed form (meV/atom) = 0

3.
Mg6AlNi | GGA-PBE | relaxed

Cell lengths 4.884, 6.044, 10.467 Å; angles 90.00, 90.00, 90.00 degrees
Space group Amm2 (No. 38)
Asymmetric unit:
Mg  0.000  0.000  0.000 x2
Mg  0.000  0.240  0.745 x4
Mg  0.500  0.000  0.166 x2
Mg  0.500  0.245  0.420 x4
Al  0.000  0.000  0.509 x2
Ni  0.500  0.000  0.650 x2

Values from the calculation:
- offset from the most stable computed form (meV/atom) = 0

4.
MgAl2Ni3 | GGA-PBE | relaxed

Cell lengths 2.902, 2.902, 9.136 Å; angles 90.00, 90.00, 90.00 degrees
Space group P4/mmm (No. 123)
Asymmetric unit:
Mg  0.000  0.000  0.000 x1
Al  0.000  0.000  0.340 x2
Ni  0.500  0.500  0.193 x2
Ni  0.500  0.500  0.500 x1

5.
Mg3AlNi4 | GGA-PBE | relaxed

Cell lengths 2.907, 2.907, 12.896 Å; angles 90.00, 90.00, 90.00 degrees
Space group P4/mmm (No. 123)
Asymmetric unit:
Mg  0.000  0.000  0.000 x1
Mg  0.000  0.000  0.258 x2
Al  0.000  0.000  0.500 x1
Ni  0.500  0.500  0.130 x2
Ni  0.500  0.500  0.393 x2

6.
MgAl2Ni2 | GGA-PBE | relaxed

Cell lengths 3.790, 3.790, 10.838 Å; angles 90.00, 90.00, 90.00 degrees
Space group I4/mmm (No. 139)
Asymmetric unit:
Mg  0.000  0.000  0.000 x2
Al  0.000  0.000  0.381 x4
Ni  0.000  0.500  0.250 x4

Values from the calculation:
- offset from the most stable computed form (meV/atom) = 280

7.
MgAl2Ni | GGA-PBE | relaxed

Cell lengths 5.378, 7.786, 2.921 Å; angles 90.00, 90.00, 90.00 degrees
Space group Cmmm (No. 65)
Asymmetric unit:
Mg  0.000  0.000  0.000 x2
Al  0.250  0.250  0.500 x4
Ni  0.000  0.500  0.000 x2

8.
MgAl2Ni | GGA-PBE | relaxed

Cell lengths 5.447, 8.863, 2.825 Å; angles 90.00, 116.35, 90.00 degrees
Space group C2/m (No. 12)
Asymmetric unit:
Mg  0.000  0.000  0.000 x2
Al  0.250  0.250  0.500 x4
Ni  0.000  0.500  0.000 x2

| no. | total energy (eV per formula unit) | density (g cm⁻³) | calculated formation energy (eV/atom) |
| --- | --- | --- | --- |
| 1 | -64.850 | 7.2 | -0.31 |
| 2 | -31.672 | 2.1 | 0.01 |
| 3 | -19.065 | 2.5 | 0.00 |
| 4 | -29.511 | 5.5 | -0.51 |
| 5 | -34.017 | 5.1 | -0.30 |
| 6 | -21.561 | 4.2 | -0.18 |
| 7 | -15.242 | 3.7 | -0.10 |
| 8 | -15.058 | 3.7 | -0.05 |